# 1
Entry from Alexandria: an optimized crystal structure of NaCd6Ag4 (PBE-GGA).

```
NaCd6Ag4
1.0
7.301 -0.205 -0.301
-3.557 6.379 0.301
-3.557 -2.066 6.043
Na Cd Ag
1 6 4
Cartesian
0.000 0.000 0.000 Na
-5.020 4.649 3.385 Cd
-5.020 1.439 5.568 Cd
3.783 0.323 0.475 Cd
1.872 -1.135 2.871 Cd
-0.671 2.012 2.959 Cd
1.872 3.087 0.000 Cd
-3.013 0.438 3.631 Ag
1.968 1.640 2.412 Ag
-3.013 3.216 1.742 Ag
-2.870 3.129 4.602 Ag
```

Values from the calculation:
The calculation puts the total energy at -1.636 eV per atom. For the energy of formation from the pure elements, the calculation gives 0.02 eV per atom. Its total moment is 0.00 μB/f.u.


# 2
Entry from Alexandria: an optimized crystal structure of Pm5Nd3Ga2 (PBE-GGA).

```
Pm5Nd3Ga2
1.0
-2.629 2.499 -2.875
-9.628 -3.758 5.541
0.657 9.128 7.333
Pm Nd Ga
10 6 4
Cartesian
-3.303 1.170 0.313 Pm
-8.297 6.699 9.686 Pm
-10.047 -0.279 5.222 Pm
-1.553 8.148 4.777 Pm
-3.708 5.447 4.401 Pm
-7.892 2.421 5.597 Pm
-6.417 5.573 6.988 Pm
-5.183 2.295 3.011 Pm
-0.986 5.813 2.229 Pm
-6.129 -0.630 1.333 Pm
-2.617 6.327 7.893 Nd
-6.354 -0.957 4.980 Nd
-1.437 2.352 3.359 Nd
-7.534 3.018 9.515 Nd
0.000 0.000 0.000 Nd
-4.486 2.685 6.437 Nd
-0.776 5.225 5.252 Ga
-8.195 0.145 7.621 Ga
-3.547 -0.292 2.991 Ga
-5.424 5.662 9.882 Ga
```

Values from the calculation:
The calculation puts the total energy at -4.552 eV per atom. For the energy of formation from the pure elements, the calculation gives -0.14 eV per atom. Its total moment is 0.00 μB/f.u.


# 3
Entry from Alexandria: an optimized crystal structure of Pr5Ho12Pu (PBE-GGA).

```
Pr5Ho12Pu
1.0
11.390 0.000 0.003
5.695 8.667 0.001
0.040 0.000 5.929
Pr Ho Pu
5 12 1
Cartesian
5.715 0.000 2.966 Pr
5.715 5.688 2.966 Pr
11.411 2.979 2.967 Pr
11.390 5.885 0.003 Pr
5.695 2.782 0.001 Pr
9.526 0.000 2.635 Ho
1.905 0.000 3.298 Ho
7.874 0.000 5.596 Ho
3.557 0.000 0.336 Ho
7.683 5.787 5.675 Ho
15.139 5.787 0.260 Ho
1.988 2.880 5.673 Ho
9.443 2.880 0.259 Ho
7.769 2.855 3.236 Ho
13.464 5.813 3.237 Ho
3.662 2.855 2.697 Ho
9.357 5.813 2.698 Ho
0.000 0.000 0.000 Pu
```

Values from the calculation:
The calculation puts the total energy at -5.058 eV per atom. For the energy of formation from the pure elements, the calculation gives 0.12 eV per atom. Its total moment is 6.60 μB/f.u.


# 4
Entry from Alexandria: an optimized crystal structure of Gd2InPd (PBE-GGA).

```
Gd2InPd
1.0
-2.668 -2.796 0.110
0.397 -3.139 -2.222
3.568 -5.859 5.550
Gd Pd In
2 1 1
Cartesian
0.167 -2.808 0.633 Gd
1.129 -8.986 2.806 Gd
0.000 0.000 0.000 Pd
0.648 -5.897 1.719 In
```

Values from the calculation:
The calculation puts the total energy at -9.518 eV per atom. For the energy of formation from the pure elements, the calculation gives -0.49 eV per atom. Its total moment is 14.37 μB/f.u. The excess energy over the best structure of this formula in the dataset comes out at 0.168 eV/atom.


# 5
Entry from Alexandria: an optimized crystal structure of TiWSeCl2 (PBE-GGA).

```
TiWSeCl2
1.0
-1.659 1.641 -3.992
3.649 -2.843 -2.686
-2.946 -3.556 -0.238
Cl Se W Ti
2 1 1 1
Cartesian
-1.473 -1.778 -0.119 Cl
-0.830 0.821 -1.996 Cl
1.824 -1.422 -1.343 Se
0.000 0.000 0.000 W
-0.478 -2.379 -3.458 Ti
```

Values from the calculation:
The calculation puts the total energy at -5.087 eV per atom. Its total moment is 0.05 μB/f.u. The calculation puts the formation energy from raw total energies at 0.5180 eV/atom.


# 6
Entry from Alexandria: an optimized crystal structure of TmBeCo2 (PBE-GGA).

```
TmBeCo2
1.0
3.852 0.000 0.000
1.926 3.336 0.000
1.926 1.112 4.662
Be Tm Co
1 1 2
Cartesian
3.852 2.224 2.331 Be
0.000 0.000 0.000 Tm
5.778 3.336 2.667 Co
1.926 1.112 1.995 Co
```

Values from the calculation:
The calculation puts the total energy at -5.794 eV per atom. For the energy of formation from the pure elements, the calculation gives -0.19 eV per atom. Its total moment is 1.42 μB/f.u. The excess energy over the best structure of this formula in the dataset comes out at 0.000 eV/atom.


| no. | density of states at the Fermi level (states/eV/atom) |
| --- | --- |
| 1 | 0.27 |
| 2 | 1.57 |
| 3 | 2.01 |
| 4 | 0.97 |
| 5 | 1.45 |
| 6 | 1.22 |